1.
# MgNiIr4

A relaxed MgNiIr4 crystal (PBE, Alexandria).

abc: 5.164 5.164 5.164
angles: 60.00 60.00 60.00
Last column: magnetic moment on the atom in μB.
Element x y z (fractional)
Mg 0.750 0.750 0.750  -0.01
Ni 0.000 0.000 0.000  0.96
Ir 0.875 0.375 0.375  0.41
Ir 0.375 0.375 0.875  0.41
Ir 0.375 0.875 0.375  0.41
Ir 0.375 0.375 0.375  0.41

Its energy is -6.867 eV/atom. The value obtained for the energy of formation from the pure elements is 0.27 eV/atom. The value obtained for the density of states at the Fermi level is 11.50 states/eV/cell. Its total magnetic moment is 0.42 μB per atom. The density comes out at 14.53 Mg/m³.

2.
# MgNi2Ir

A relaxed MgNi2Ir crystal (PBE, Alexandria).

abc: 5.078 5.078 5.078
angles: 148.32 129.35 60.99
Element x y z (fractional)
Ir 0.515 0.515 0.000
Mg 0.243 0.743 0.500
Ni 0.985 0.985 0.000
Ni 0.756 0.256 0.500

Its energy is -5.583 eV/atom. The value obtained for the energy of formation from the pure elements is -0.08 eV/atom. The value obtained for the density of states at the Fermi level is 4.61 states/eV/cell. Its total magnetic moment is 0.00 μB per atom. The density comes out at 10.52 Mg/m³.

3.
# MgNi2Ir

A relaxed MgNi2Ir crystal (PBE, Alexandria).

abc: 4.555 4.555 4.568
angles: 79.69 79.69 35.07
Element x y z (fractional)
Ir 0.750 0.750 0.750
Mg 0.250 0.250 0.250
Ni 0.007 0.007 0.978
Ni 0.493 0.493 0.522

Its energy is -5.561 eV/atom. The value obtained for the energy of formation from the pure elements is -0.06 eV/atom. The value obtained for the density of states at the Fermi level is 5.10 states/eV/cell. Its total magnetic moment is 0.00 μB per atom. The density comes out at 10.37 Mg/m³.

4.
# MgNiIr2

A relaxed MgNiIr2 crystal (PBE, Alexandria).

abc: 4.269 2.735 5.126
angles: 74.41 90.00 90.00
Last column: magnetic moment on the atom in μB.
Element x y z (fractional)
Ir 0.000 0.886 0.982  0.03
Ir 0.000 0.614 0.518  0.03
Mg 0.500 0.250 0.250  0.00
Ni 0.500 0.750 0.750  0.07

Its energy is -6.343 eV/atom. The value obtained for the energy of formation from the pure elements is -0.07 eV/atom. The value obtained for the density of states at the Fermi level is 5.95 states/eV/cell. Its total magnetic moment is 0.03 μB per atom. The density comes out at 13.47 Mg/m³.